No. 1
# Ba5Zn2I2, optimized geometry, DFT PBE-GGA
data_Ba5Zn2I2
_chemical_formula_sum 'Ba20 Zn8 I8'
_cell_length_a 18.240
_cell_length_b 9.238
_cell_length_c 9.244
_cell_angle_alpha 90.00
_cell_angle_beta 90.00
_cell_angle_gamma 90.00
_space_group_name_H-M_alt 'C m c e'
_space_group_IT_number 64
_space_group_name_Hall '-C 2ac 2'
loop_
_atom_site_label
_atom_site_type_symbol
_atom_site_fract_x
_atom_site_fract_y
_atom_site_fract_z
Ba1 Ba 0.000 0.000 0.000
Ba2 Ba 0.122 0.160 0.342
Zn1 Zn 0.000 0.128 0.629
I1 I 0.207 0.000 0.000
# E_form (uncorrected) in meV/atom: -632

---

No. 2
# SmEuBiPd, optimized geometry, DFT PBE-GGA
data_SmEuBiPd
_chemical_formula_sum 'Sm4 Eu4 Bi4 Pd4'
_cell_length_a 7.599
_cell_length_b 7.599
_cell_length_c 7.599
_cell_angle_alpha 90.00
_cell_angle_beta 90.00
_cell_angle_gamma 90.00
_space_group_name_H-M_alt 'F -4 3 m'
_space_group_IT_number 216
_space_group_name_Hall 'F -4 2 3'
loop_
_atom_site_label
_atom_site_type_symbol
_atom_site_fract_x
_atom_site_fract_y
_atom_site_fract_z
Sm1 Sm 0.000 0.000 0.000
Eu1 Eu 0.000 0.000 0.500
Bi1 Bi 0.250 0.250 0.750
Pd1 Pd 0.250 0.250 0.250
# Energy relative to the elements in meV per atom: -699

---

No. 3
# NiAgOs2, optimized geometry, DFT PBE-GGA
data_NiAgOs2
_chemical_formula_sum 'Ni4 Ag4 Os8'
_cell_length_a 6.104
_cell_length_b 6.104
_cell_length_c 6.104
_cell_angle_alpha 90.00
_cell_angle_beta 90.00
_cell_angle_gamma 90.00
_space_group_name_H-M_alt 'F m -3 m'
_space_group_IT_number 225
_space_group_name_Hall '-F 4 2 3'
loop_
_atom_site_label
_atom_site_type_symbol
_atom_site_fract_x
_atom_site_fract_y
_atom_site_fract_z
Ni1 Ni 0.000 0.000 0.000
Ag1 Ag 0.000 0.000 0.500
Os1 Os 0.250 0.250 0.250
# Distance to the lowest polymorph of the same formula in kJ/mol of atoms: 58.0
# Energy relative to the elements in meV per atom: 898

---

No. 4
# Li4Bi2O, optimized geometry, DFT PBE-GGA
data_Li4Bi2O
_chemical_formula_sum 'Li8 Bi4 O2'
_cell_length_a 3.951
_cell_length_b 3.951
_cell_length_c 16.035
_cell_angle_alpha 90.00
_cell_angle_beta 90.00
_cell_angle_gamma 90.00
_space_group_name_H-M_alt 'I 4/m m m'
_space_group_IT_number 139
_space_group_name_Hall '-I 4 2'
loop_
_atom_site_label
_atom_site_type_symbol
_atom_site_fract_x
_atom_site_fract_y
_atom_site_fract_z
Li1 Li 0.000 0.000 0.118
Li2 Li 0.000 0.500 0.000
Bi1 Bi 0.000 0.000 0.313
O1 O 0.000 0.000 0.000
# E_form (uncorrected) in meV/atom: -862

---

Number 1: V 43.3 Å³ per atom. Number 2: V 27.4 Å³ per atom. Number 3: V 14.2 Å³ per atom. Number 4: V 17.9 Å³ per atom.